Entry 1:
An optimized crystal structure of In2AgSn. Source: Alexandria via LeMat-Bulk, functional PBE-GGA.

Unit cell a=11.039 b=11.039 c=11.039 alpha=157.11 beta=157.11 gamma=32.59
Atoms (fractional coordinates):
In1 0.113 0.625 0.988
In2 0.375 0.363 0.488
In3 0.637 0.125 0.012
In4 0.875 0.887 0.512
Ag1 0.000 0.000 0.000
Ag2 0.750 0.250 0.500
Sn1 0.250 0.750 0.500
Sn2 0.500 0.500 0.000

Summary:
The calculation puts the density at 7453 kg/m3. The polymorph energy (0 for the lowest one) is 0.225 eV per formula unit. For the total energy, the calculation gives -2.985 eV per atom. Its formation energy from the elements is 0.389 eV per formula unit.

=====

Entry 2:
An optimized crystal structure of K2LaSe. Source: Alexandria via LeMat-Bulk, functional PBE-GGA.

Unit cell a=4.335 b=4.335 c=11.840 alpha=99.80 beta=99.80 gamma=59.94
Atoms (fractional coordinates):
K1 0.000 0.000 0.000
K2 0.197 0.197 0.641
La1 0.435 0.435 0.325
Se1 0.724 0.724 0.183

Summary:
The calculation puts the density at 2604 kg/m3. For the total energy, the calculation gives -3.377 eV per atom. Its uncorrected formation energy is -2.90 eV per formula unit.

=====

Entry 3:
An optimized crystal structure of MgZr2In. Source: Alexandria via LeMat-Bulk, functional PBE-GGA.

Unit cell a=3.198 b=4.439 c=6.215 alpha=90.00 beta=90.00 gamma=90.00
Atoms (fractional coordinates):
Mg1 0.000 0.000 0.000
Zr1 0.500 0.500 0.249
Zr2 0.500 0.500 0.751
In1 0.000 0.000 0.500

Summary:
The calculation puts the density at 6052 kg/m3. For the total energy, the calculation gives -5.517 eV per atom. Its formation energy from the elements is -0.640 eV per formula unit.

=====

Entry 4:
An optimized crystal structure of Cs3BiPb. Source: Alexandria via LeMat-Bulk, functional PBE-GGA.

Unit cell a=9.295 b=9.295 c=9.609 alpha=119.27 beta=119.27 gamma=84.17
Atoms (fractional coordinates):
Cs1 0.063 0.063 0.350
Cs2 0.104 0.468 0.247
Cs3 0.468 0.104 0.247
Cs4 0.532 0.896 0.753
Cs5 0.896 0.532 0.753
Cs6 0.937 0.937 0.650
Bi1 0.434 0.434 0.714
Bi2 0.566 0.566 0.286
Pb1 0.308 0.308 0.886
Pb2 0.692 0.692 0.114

Summary:
The calculation puts the density at 4356 kg/m3. The polymorph energy (0 for the lowest one) is 0.177 eV per formula unit. For the total energy, the calculation gives -2.188 eV per atom. Its formation energy from the elements is -0.788 eV per formula unit.

=====

Entry 5:
An optimized crystal structure of Zr2Ni3Ir3. Source: Alexandria via LeMat-Bulk, functional PBE-GGA.

Unit cell a=3.897 b=3.911 c=7.718 alpha=90.00 beta=90.00 gamma=90.00
Atoms (fractional coordinates):
Zr1 0.000 0.000 0.245
Zr2 0.000 0.000 0.755
Ni1 0.500 0.000 0.000
Ni2 0.500 0.500 0.249
Ni3 0.500 0.500 0.751
Ir1 0.000 0.500 0.000
Ir2 0.000 0.500 0.500
Ir3 0.500 0.000 0.500

Summary:
The calculation puts the density at 13202 kg/m3. For the total energy, the calculation gives -8.189 eV per atom. Its formation energy from the elements is -4.493 eV per formula unit.

=====

Entry 6:
An optimized crystal structure of SrPu2Br6. Source: Alexandria via LeMat-Bulk, functional PBE-GGA.

Unit cell a=7.137 b=7.137 c=13.538 alpha=90.00 beta=90.00 gamma=90.00
Atoms (fractional coordinates):
Sr1 0.000 0.000 0.000
Sr2 0.500 0.500 0.500
Pu1 0.000 0.000 0.335
Pu2 0.000 0.000 0.665
Pu3 0.500 0.500 0.165
Pu4 0.500 0.500 0.835
Br1 0.197 0.197 0.500
Br2 0.201 0.201 0.171
Br3 0.201 0.201 0.829
Br4 0.299 0.701 0.329
Br5 0.299 0.701 0.671
Br6 0.303 0.697 0.000
Br7 0.697 0.303 0.000
Br8 0.701 0.299 0.329
Br9 0.701 0.299 0.671
Br10 0.799 0.799 0.171
Br11 0.799 0.799 0.829
Br12 0.803 0.803 0.500

Summary:
The calculation puts the density at 5081 kg/m3. The polymorph energy (0 for the lowest one) is 0.030 eV per formula unit. For the total energy, the calculation gives -6.087 eV per atom. Its uncorrected formation energy is -14.40 eV per formula unit.

=====

Entry 7:
An optimized crystal structure of MgSb7. Source: Alexandria via LeMat-Bulk, functional PBE-GGA.

Unit cell a=6.734 b=6.734 c=6.734 alpha=60.00 beta=60.00 gamma=60.00
Atoms (fractional coordinates):
Mg1 0.000 0.000 0.000
Sb1 0.000 0.000 0.500
Sb2 0.000 0.500 0.000
Sb3 0.000 0.500 0.500
Sb4 0.500 0.000 0.000
Sb5 0.500 0.000 0.500
Sb6 0.500 0.500 0.000
Sb7 0.500 0.500 0.500

Summary:
The calculation puts the density at 6742 kg/m3. For the total energy, the calculation gives -3.596 eV per atom. Its uncorrected formation energy is 1.69 eV per formula unit.

=====

Entry 8:
An optimized crystal structure of RbAlBi. Source: Alexandria via LeMat-Bulk, functional PBE-GGA.

Unit cell a=10.148 b=10.148 c=5.033 alpha=90.00 beta=90.00 gamma=153.64
Atoms (fractional coordinates):
Rb1 0.179 0.821 0.750
Rb2 0.821 0.179 0.250
Al1 0.029 0.971 0.250
Al2 0.971 0.029 0.750
Bi1 0.391 0.609 0.750
Bi2 0.609 0.391 0.250

Summary:
The calculation puts the density at 4639 kg/m3. For the total energy, the calculation gives -2.874 eV per atom. Its formation energy from the elements is -0.032 eV per formula unit.

=====

Entry 9:
An optimized crystal structure of KCd2HgAu. Source: Alexandria via LeMat-Bulk, functional PBE-GGA.

Unit cell a=5.491 b=5.491 c=5.458 alpha=90.00 beta=90.00 gamma=90.00
Atoms (fractional coordinates):
K1 0.000 0.000 0.000
Cd1 0.000 0.500 0.500
Cd2 0.500 0.000 0.500
Hg1 0.500 0.500 0.500
Au1 0.500 0.500 0.000

Summary:
The calculation puts the density at 6673 kg/m3. The polymorph energy (0 for the lowest one) is 0.967 eV per formula unit. For the total energy, the calculation gives -1.258 eV per atom. Its formation energy from the elements is 0.217 eV per formula unit.

=====

Entry 10:
An optimized crystal structure of NaTlSn3. Source: Alexandria via LeMat-Bulk, functional PBE-GGA.

Unit cell a=10.595 b=5.236 c=10.831 alpha=90.00 beta=90.00 gamma=90.00
Atoms (fractional coordinates):
Na1 0.243 0.250 0.011
Na2 0.257 0.750 0.511
Na3 0.743 0.250 0.489
Na4 0.757 0.750 0.989
Tl1 0.084 0.250 0.381
Tl2 0.416 0.750 0.881
Tl3 0.584 0.250 0.119
Tl4 0.916 0.750 0.619
Sn1 0.091 0.750 0.142
Sn2 0.094 0.750 0.856
Sn3 0.125 0.250 0.682
Sn4 0.375 0.750 0.182
Sn5 0.406 0.250 0.356
Sn6 0.409 0.250 0.642
Sn7 0.591 0.750 0.358
Sn8 0.594 0.750 0.644
Sn9 0.625 0.250 0.818
Sn10 0.875 0.750 0.318
Sn11 0.906 0.250 0.144
Sn12 0.909 0.250 0.858

Summary:
The calculation puts the density at 6450 kg/m3. The polymorph energy (0 for the lowest one) is 0.000 eV per formula unit. For the total energy, the calculation gives -3.161 eV per atom. Its formation energy from the elements is -0.111 eV per formula unit.

=====

Entry 11:
An optimized crystal structure of K2RbAgPt. Source: Alexandria via LeMat-Bulk, functional PBE-GGA.

Unit cell a=6.127 b=6.127 c=6.341 alpha=90.00 beta=90.00 gamma=90.00
Atoms (fractional coordinates):
K1 0.000 0.500 0.000
K2 0.500 0.000 0.000
Rb1 0.000 0.000 0.500
Ag1 0.500 0.500 0.500
Pt1 0.000 0.000 0.000

Summary:
The calculation puts the density at 3256 kg/m3. The polymorph energy (0 for the lowest one) is 0.142 eV per formula unit. For the total energy, the calculation gives -2.294 eV per atom. Its formation energy from the elements is 0.584 eV per formula unit.

=====

Entry 12:
An optimized crystal structure of TiMnOsPb2. Source: Alexandria via LeMat-Bulk, functional PBE-GGA.

Unit cell a=5.360 b=5.360 c=4.565 alpha=90.00 beta=90.00 gamma=90.00
Atoms (fractional coordinates):
Ti1 0.000 0.000 0.000
Mn1 0.500 0.500 0.500
Os1 0.000 0.000 0.500
Pb1 0.000 0.500 0.000
Pb2 0.500 0.000 0.000

Summary:
The calculation puts the density at 8959 kg/m3. For the total energy, the calculation gives -5.981 eV per atom. Its formation energy from the elements is 5.804 eV per formula unit.

=====

Number 9 is which compound? KCd2HgAu